Here is Sc6NiOs after structural relaxation from the Alexandria database. Energies are from PBE.

## Properties
For the electronic total energy, the calculation gives -7.103 eV per atom. The calculation puts the size of the total moment at 0.36 Bohr magnetons per cell. Its energy of formation from the pure elements is -0.228 eV/atom.

a b c (Å): 4.543 4.543 16.223
angles (deg): 90.00 90.00 90.00
Space group I4/mmm (No. 139)
Symmetry-distinct sites (fractional):
Sc 0.000 0.000 0.246
Sc 0.000 0.500 0.096
Ni 0.000 0.000 0.500
Os 0.000 0.000 0.000